Entry from Alexandria: HoAs2Ir after structural relaxation (PBE).

Crystal system = trigonal
Calculated formation energy = -0.779 eV per atom
Volume = 19.33 Å³ per atom
Fermi-level density of states = 0.14 states/eV/atom
Calculated density = 10.9 Mg/m³
Electronic total energy = -6.46 eV per atom
Total magnetic moment = 0.0 μB per formula unit

abc: 4.0157 4.0157 16.6077
angles: 90.00 90.00 120.00
Space group R-3m (No. 166, hexagonal axes)
Inequivalent atoms, fractional coordinates:
Ho (0.0000, 0.0000, 0.0000)
As (0.0000, 0.0000, 0.2324)
Ir (0.0000, 0.0000, 0.5000)